{"formula": "LaZr2Re", "functional": "PBE-GGA", "state": "optimized geometry", "lattice": [[-3.388, 2.965, 0.615], [-1.905, -1.783, -1.906], [-2.724, -3.946, 4.016]], "species": ["La", "Re", "Zr", "Zr"], "frac_coords": [[0.500, 0.250, 0.250], [0.500, 0.750, 0.750], [0.000, 0.959, 0.962], [0.000, 0.541, 0.538]], "energy_ev_per_cell": -33.8, "e_form_ev_per_atom": 0.1670, "crystal_system": "monoclinic"}

***

{"formula": "LaZr2Re", "functional": "PBE-GGA", "state": "optimized geometry", "lattice": [[10.098, 0.028, 0.017], [9.556, 3.266, 0.017], [9.556, 1.601, 2.846]], "species": ["La", "Re", "Zr", "Zr"], "frac_coords": [[0.510, 0.510, 0.510], [0.256, 0.256, 0.256], [0.990, 0.990, 0.990], [0.743, 0.743, 0.743]], "energy_ev_per_cell": -33.2, "e_form_ev_per_atom": 0.3255, "crystal_system": "trigonal"}

***

{"formula": "LaZr2Re", "functional": "PBE-GGA", "state": "optimized geometry", "lattice": [[-9.632, 2.897, 0.084], [-9.397, 1.906, -3.041], [-10.033, -0.278, -0.668]], "species": ["La", "Re", "Zr", "Zr"], "frac_coords": [[0.750, 0.750, 0.750], [0.250, 0.250, 0.250], [0.985, 0.985, 0.985], [0.515, 0.515, 0.515]], "energy_ev_per_cell": -33.5, "e_form_ev_per_atom": 0.2306, "crystal_system": "trigonal"}

***

{"formula": "LaZrRe2", "functional": "PBE-GGA", "state": "optimized geometry", "lattice": [[4.688, 0.002, -0.004], [3.625, 2.972, -0.004], [0.372, 0.133, 6.204]], "species": ["La", "Re", "Re", "Zr"], "frac_coords": [[0.750, 0.750, 0.750], [0.987, 0.987, 0.066], [0.513, 0.513, 0.434], [0.250, 0.250, 0.250]], "energy_ev_per_cell": -36.3, "e_form_ev_per_atom": 0.5219, "crystal_system": "monoclinic"}

***

{"formula": "LaZr2Re", "functional": "PBE-GGA", "state": "optimized geometry", "lattice": [[3.117, -0.010, 0.000], [-1.245, 2.858, 0.000], [0.000, 0.000, 10.323]], "species": ["La", "Re", "Zr", "Zr"], "frac_coords": [[0.500, 0.500, 0.250], [0.500, 0.500, 0.750], [0.000, 0.000, 0.952], [0.000, 0.000, 0.548]], "energy_ev_per_cell": -33.9, "e_form_ev_per_atom": 0.1491, "crystal_system": "orthorhombic"}

***

{"formula": "LaZr2Re", "functional": "PBE-GGA", "state": "optimized geometry", "lattice": [[-3.846, 2.078, -0.974], [-0.934, -0.270, 3.114], [2.179, 5.583, 3.311]], "species": ["La", "Re", "Zr", "Zr"], "frac_coords": [[0.000, 0.587, 0.526], [0.500, 0.708, 0.806], [0.000, 0.944, 0.973], [0.500, 0.261, 0.196]], "energy_ev_per_cell": -33.6, "e_form_ev_per_atom": 0.2246, "crystal_system": "monoclinic"}

***

{"formula": "LaZr2Re", "functional": "PBE-GGA", "state": "optimized geometry", "lattice": [[-3.025, 1.176, 1.282], [-0.183, -3.993, 3.229], [2.259, -1.380, 6.594]], "species": ["La", "Re", "Zr", "Zr"], "frac_coords": [[0.500, 0.500, 0.500], [0.000, 0.000, 0.500], [0.000, 0.000, 0.000], [0.500, 0.500, 0.000]], "energy_ev_per_cell": -33.1, "e_form_ev_per_atom": 0.3517, "crystal_system": "orthorhombic"}

***

{"formula": "LaZrRe2", "functional": "PBE-GGA", "state": "optimized geometry", "lattice": [[3.270, 0.000, 0.000], [0.000, 4.895, 0.000], [0.000, 0.000, 4.813]], "species": ["La", "Re", "Re", "Zr"], "frac_coords": [[0.000, 0.500, 0.500], [0.000, 0.000, 0.000], [0.500, 0.500, 0.000], [0.500, 0.000, 0.500]], "energy_ev_per_cell": -36.4, "e_form_ev_per_atom": 0.5015, "crystal_system": "orthorhombic"}

***

{"formula": "LaZrRe3", "functional": "PBE-GGA", "state": "optimized geometry", "lattice": [[4.781, 0.000, 0.000], [0.000, 4.781, 0.000], [0.000, 0.000, 4.781]], "species": ["Re", "Re", "Re", "Zr", "La"], "frac_coords": [[0.000, 0.500, 0.000], [0.000, 0.000, 0.500], [0.500, 0.000, 0.000], [0.500, 0.500, 0.500], [0.000, 0.000, 0.000]], "energy_ev_per_cell": -39.1, "e_form_ev_per_atom": 2.3441, "crystal_system": "cubic"}

***

{"formula": "LaZr2Re", "functional": "PBE-GGA", "state": "optimized geometry", "lattice": [[0.000, 3.496, 3.496], [3.496, 0.000, 3.496], [3.496, 3.496, 0.000]], "species": ["Re", "Zr", "Zr", "La"], "frac_coords": [[0.500, 0.500, 0.500], [0.250, 0.250, 0.250], [0.750, 0.750, 0.750], [0.000, 0.000, 0.000]], "energy_ev_per_cell": -33.7, "e_form_ev_per_atom": 0.2009, "crystal_system": "cubic"}

***

{"formula": "LaZrRe2", "functional": "PBE-GGA", "state": "optimized geometry", "lattice": [[-6.799, 3.864, -7.300], [-8.272, 1.380, -6.641], [-8.658, 3.812, -4.995]], "species": ["La", "Re", "Re", "Zr"], "frac_coords": [[0.742, 0.742, 0.742], [0.989, 0.989, 0.989], [0.258, 0.258, 0.258], [0.512, 0.512, 0.512]], "energy_ev_per_cell": -36.4, "e_form_ev_per_atom": 0.4805, "crystal_system": "trigonal"}

***

{"formula": "LaZr2Re", "functional": "PBE-GGA", "state": "optimized geometry", "lattice": [[-1.426, 3.111, 3.642], [-4.196, -2.645, 0.613], [1.581, -1.974, 2.305]], "species": ["La", "Re", "Zr", "Zr"], "frac_coords": [[0.500, 0.000, 0.500], [0.000, 0.500, 0.500], [0.000, 0.000, 0.000], [0.500, 0.500, 0.000]], "energy_ev_per_cell": -33.2, "e_form_ev_per_atom": 0.3250, "crystal_system": "tetragonal"}

***

{"formula": "LaZrRe2", "functional": "PBE-GGA", "state": "optimized geometry", "lattice": [[7.705, 0.000, 0.000], [0.000, 7.705, 0.000], [3.852, 3.852, 2.856]], "species": ["Re", "Re", "Re", "Re", "Zr", "Zr", "La", "La"], "frac_coords": [[0.610, 0.125, 0.250], [0.140, 0.625, 0.250], [0.375, 0.390, 0.750], [0.875, 0.860, 0.750], [0.500, 0.500, 0.000], [0.250, 0.750, 0.500], [0.000, 0.000, 0.000], [0.750, 0.250, 0.500]], "energy_ev_per_cell": -69.9, "e_form_ev_per_atom": 0.8496, "crystal_system": "tetragonal"}

***

{"formula": "LaZr2Re", "functional": "PBE-GGA", "state": "optimized geometry", "lattice": [[-1.433, -2.012, -1.865], [-0.978, -0.091, 2.936], [-7.205, 7.150, -2.178]], "species": ["La", "Re", "Zr", "Zr"], "frac_coords": [[0.000, 0.000, 0.539], [0.500, 0.500, 0.768], [0.000, 0.000, 0.969], [0.500, 0.500, 0.223]], "energy_ev_per_cell": -33.4, "e_form_ev_per_atom": 0.2582, "crystal_system": "orthorhombic"}

***

{"formula": "LaZrRe2", "functional": "PBE-GGA", "state": "optimized geometry", "lattice": [[2.970, -0.002, 0.000], [-1.145, 2.740, 0.000], [0.000, 0.000, 9.510]], "species": ["La", "Re", "Re", "Zr"], "frac_coords": [[0.500, 0.500, 0.750], [0.000, 0.000, 0.017], [0.000, 0.000, 0.483], [0.500, 0.500, 0.250]], "energy_ev_per_cell": -37.0, "e_form_ev_per_atom": 0.3481, "crystal_system": "orthorhombic"}